Record 1
Here is a relaxed Dy2Zn2AgPt5 crystal from Alexandria. Energies are from PBE.

Crystal system ... tetragonal
Space group ... P4/mbm, No. 127
Energy of formation from the pure elements ... -7.6 eV/f.u.

a = 3.8600 Å, b = 9.5529 Å, c = 9.5529 Å
α = 90.00°, β = 90.00°, γ = 90.00°
Last column: nearest neighbours and their distance in Å.
Positions (direct):
Dy  0.0000  0.6771  0.1771  3 Zn 2.72-2.90
Dy  0.0000  0.3229  0.8229  3 Zn 2.72-2.90
Dy  0.0000  0.1771  0.3229  3 Zn 2.72-2.90
Dy  0.0000  0.8229  0.6771  3 Zn 2.72-2.90
Zn  0.0000  0.1213  0.6213  6 Pt 2.53-2.59, 1 Dy 2.72
Zn  0.0000  0.8787  0.3787  6 Pt 2.53-2.59, 1 Dy 2.72
Zn  0.0000  0.6213  0.8787  6 Pt 2.53-2.59, 1 Dy 2.72
Zn  0.0000  0.3787  0.1213  6 Pt 2.53-2.59, 1 Dy 2.72
Ag  0.0000  0.0000  0.0000  8 Pt 2.83
Ag  0.0000  0.5000  0.5000  8 Pt 2.83
Pt  0.5000  0.2058  0.0681  2 Zn 2.59, 2 Ag 2.83, 1 Pt 2.88
Pt  0.5000  0.7942  0.9319  2 Zn 2.59, 2 Ag 2.83, 1 Pt 2.88
Pt  0.5000  0.0681  0.7942  2 Zn 2.59, 2 Ag 2.83, 1 Pt 2.88
Pt  0.5000  0.7058  0.4319  2 Zn 2.59, 2 Ag 2.83, 1 Pt 2.88
Pt  0.5000  0.9319  0.2058  2 Zn 2.59, 2 Ag 2.83, 1 Pt 2.88
Pt  0.5000  0.2942  0.5681  2 Zn 2.59, 2 Ag 2.83, 1 Pt 2.88
Pt  0.5000  0.5681  0.7058  2 Zn 2.59, 2 Ag 2.83, 1 Pt 2.88
Pt  0.5000  0.4319  0.2942  2 Zn 2.59, 2 Ag 2.83, 1 Pt 2.88
Pt  0.5000  0.5000  0.0000  4 Zn 2.53
Pt  0.5000  0.0000  0.5000  4 Zn 2.53


Record 2
Here is a relaxed K3PrEr2O6 crystal from Alexandria. Energies are from PBE.

Raw formation energy ... -2.714 eV per atom
Crystal system ... monoclinic
Space group ... C2/m, No. 12

a = 6.1043 Å, b = 6.1043 Å, c = 6.5957 Å
α = 98.86°, β = 98.86°, γ = 120.01°
Last column: nearest neighbours and their distance in Å.
Positions (direct):
K  0.1687  0.8313  0.5000  6 O 2.75-2.88
K  0.8313  0.1687  0.5000  6 O 2.75-2.88
K  0.5000  0.5000  0.5000  6 O 2.76-2.87
Pr  0.0000  0.0000  0.0000  6 O 2.43
Er  0.3333  0.6667  0.0000  6 O 2.31
Er  0.6667  0.3333  0.0000  6 O 2.31
O  0.9380  0.5897  0.8138  2 Er 2.31, 1 Pr 2.43
O  0.7138  0.7138  0.1867  2 Er 2.31, 1 Pr 2.43
O  0.0620  0.4103  0.1862  2 Er 2.31, 1 Pr 2.43
O  0.5897  0.9380  0.8138  2 Er 2.31, 1 Pr 2.43
O  0.2862  0.2862  0.8133  2 Er 2.31, 1 Pr 2.43
O  0.4103  0.0620  0.1862  2 Er 2.31, 1 Pr 2.43


For reference, Fermi-level density of states by record: 4.8, 0.0 states/eV/cell.
For reference, total magnetic moment by record: 0.00, 0.00 μB per atom.